--- w ---
This record from OQMD via LeMat-Bulk describes crystalline KDyIn at its relaxed geometry. The functional is PBE.

Lattice parameters (Å, degrees): 5.4940 5.4940 5.4940 60.00 60.00 60.00
Last column: magnetic moment on the atom in μB.
Sites, in units of the cell vectors:
Dy: 0.2500 0.2500 0.2500  0.20
K: 0.7500 0.7500 0.7500  0.01
In: 0.0000 0.0000 0.0000  0.12

Properties
Size of the total moment, μB per atom: 0.228
SG: No. 216


--- x ---
This record from OQMD via LeMat-Bulk describes crystalline KDyIn at its relaxed geometry. The functional is PBE.

Lattice parameters (Å, degrees): 9.0235 9.0235 4.8753 90.00 90.00 150.07
Sites, in units of the cell vectors:
In: 0.3151 0.6849 0.5000
In: 0.6849 0.3151 0.5000
Dy: 0.8180 0.1820 0.0000
Dy: 0.1820 0.8180 0.0000
K: 0.0000 0.0000 0.5000
K: 0.5000 0.5000 0.0000

Properties
Size of the total moment, μB per atom: 0.006
SG: No. 65


Bottom line: x, by a margin of 336 meV per atom.


--- w ---
This record from OQMD via LeMat-Bulk describes crystalline DyLuIn at its relaxed geometry. The functional is PBE.

Lattice parameters (Å, degrees): 5.1217 5.1217 5.1217 60.00 60.00 60.00
Sites, in units of the cell vectors:
Lu: 0.7500 0.7500 0.7500
In: 0.0000 0.0000 0.0000
Dy: 0.2500 0.2500 0.2500

Properties
Size of the total moment, μB per atom: 0.005
SG: No. 216


--- x ---
This record from OQMD via LeMat-Bulk describes crystalline DyLuIn at its relaxed geometry. The functional is PBE.

Lattice parameters (Å, degrees): 5.3335 5.3335 6.6596 90.00 90.00 120.00
Sites, in units of the cell vectors:
Lu: 0.0000 0.0000 0.0000
Lu: 0.0000 0.0000 0.5000
Dy: 0.6667 0.3333 0.7500
Dy: 0.3333 0.6667 0.2500
In: 0.6667 0.3333 0.2500
In: 0.3333 0.6667 0.7500

Properties
Size of the total moment, μB per atom: 0.002
SG: No. 194


Bottom line: x, by a margin of 262 meV per atom.


--- w ---
This record from OQMD via LeMat-Bulk describes crystalline PmDyIn at its relaxed geometry. The functional is PBE.

Lattice parameters (Å, degrees): 6.0417 6.0417 6.0417 145.74 135.87 57.03
Last column: magnetic moment on the atom in μB.
Sites, in units of the cell vectors:
Dy: 0.3083 0.3083 0.0000  0.06
Pm: 0.0017 0.0017 0.0000  0.02
In: 0.6623 0.6623 0.0000  0.00

Properties
Size of the total moment, μB per atom: 0.042
SG: No. 44


--- x ---
This record from OQMD via LeMat-Bulk describes crystalline PmDyIn at its relaxed geometry. The functional is PBE.

Lattice parameters (Å, degrees): 5.2379 5.2379 5.2379 60.00 60.00 60.00
Sites, in units of the cell vectors:
Dy: 0.2500 0.2500 0.2500
In: 0.0000 0.0000 0.0000
Pm: 0.7500 0.7500 0.7500

Properties
Size of the total moment, μB per atom: 0.047
SG: No. 216


Bottom line: w, by a margin of 183 meV per atom.


--- w ---
This record from OQMD via LeMat-Bulk describes crystalline DyZnInS3 at its relaxed geometry. The functional is PBE.

Lattice parameters (Å, degrees): 4.0728 11.2387 11.7819 90.00 90.00 90.00
Sites, in units of the cell vectors:
S: 0.7500 0.7752 0.8006
S: 0.2500 0.2248 0.1994
S: 0.2500 0.0425 0.8288
S: 0.7500 0.1009 0.4399
S: 0.2500 0.7248 0.3006
S: 0.7500 0.4575 0.3288
S: 0.7500 0.9575 0.1712
S: 0.7500 0.2752 0.6994
S: 0.7500 0.6009 0.0601
S: 0.2500 0.8991 0.5601
S: 0.2500 0.5425 0.6712
S: 0.2500 0.3991 0.9399
Dy: 0.2500 0.9785 0.3293
Dy: 0.7500 0.0215 0.6707
Dy: 0.7500 0.5215 0.8293
Dy: 0.2500 0.4785 0.1707
Zn: 0.2500 0.2481 0.8049
Zn: 0.7500 0.2519 0.3049
Zn: 0.7500 0.7519 0.1951
Zn: 0.2500 0.7481 0.6951
In: 0.7500 0.6623 0.4859
In: 0.7500 0.1623 0.0141
In: 0.2500 0.8377 0.9859
In: 0.2500 0.3377 0.5141

Properties
Size of the total moment, μB per atom: 0.000
SG: No. 62


--- x ---
This record from OQMD via LeMat-Bulk describes crystalline DyZnInS3 at its relaxed geometry. The functional is PBE.

Lattice parameters (Å, degrees): 7.3427 7.3427 10.5253 90.00 90.00 31.20
Sites, in units of the cell vectors:
S: 0.6261 0.6261 0.5636
S: 0.9387 0.9387 0.7500
S: 0.3739 0.3739 0.0636
S: 0.6261 0.6261 0.9364
S: 0.0613 0.0613 0.2500
S: 0.3739 0.3739 0.4364
In: 0.2529 0.2529 0.7500
In: 0.7471 0.7471 0.2500
Zn: 0.4610 0.4610 0.2500
Zn: 0.5390 0.5390 0.7500
Dy: 0.0000 0.0000 0.0000
Dy: 0.0000 0.0000 0.5000

Properties
Size of the total moment, μB per atom: 0.001
SG: No. 63


Bottom line: x, by a margin of 41 meV per atom.


--- w ---
This record from OQMD via LeMat-Bulk describes crystalline DyScIn at its relaxed geometry. The functional is PBE.

Lattice parameters (Å, degrees): 5.2484 5.2484 6.4625 90.00 90.00 120.00
Last column: magnetic moment on the atom in μB.
Sites, in units of the cell vectors:
Sc: 0.0000 0.0000 0.5000  0.35
Sc: 0.0000 0.0000 0.0000  0.33
Dy: 0.3333 0.6667 0.2500  0.18
Dy: 0.6667 0.3333 0.7500  0.17
In: 0.6667 0.3333 0.2500  -0.01
In: 0.3333 0.6667 0.7500  -0.01

Properties
Size of the total moment, μB per atom: 0.238
SG: No. 194


--- x ---
This record from OQMD via LeMat-Bulk describes crystalline DyScIn at its relaxed geometry. The functional is PBE.

Lattice parameters (Å, degrees): 5.0217 5.0217 5.0217 60.00 60.00 60.00
Last column: magnetic moment on the atom in μB.
Sites, in units of the cell vectors:
Dy: 0.5000 0.5000 0.5000  0.08
Sc: 0.0000 0.0000 0.0000  0.13
In: 0.2500 0.2500 0.2500  -0.01

Properties
Size of the total moment, μB per atom: 0.116
SG: No. 216


Bottom line: w, by a margin of 279 meV per atom.


--- w ---
This record from OQMD via LeMat-Bulk describes crystalline SmDyIn at its relaxed geometry. The functional is PBE.

Lattice parameters (Å, degrees): 5.4476 5.4476 6.7900 90.00 90.00 120.00
Last column: magnetic moment on the atom in μB.
Sites, in units of the cell vectors:
In: 0.6667 0.3333 0.2500  0.00
In: 0.3333 0.6667 0.7500  0.00
Dy: 0.0000 0.0000 0.5000  0.12
Dy: 0.0000 0.0000 0.0000  0.11
Sm: 0.3333 0.6667 0.2500  0.06
Sm: 0.6667 0.3333 0.7500  0.06

Properties
Size of the total moment, μB per atom: 0.093
SG: No. 194


--- x ---
This record from OQMD via LeMat-Bulk describes crystalline SmDyIn at its relaxed geometry. The functional is PBE.

Lattice parameters (Å, degrees): 5.2240 5.2240 5.2240 60.00 60.00 60.00
Sites, in units of the cell vectors:
In: 0.0000 0.0000 0.0000
Dy: 0.2500 0.2500 0.2500
Sm: 0.7500 0.7500 0.7500

Properties
Size of the total moment, μB per atom: 0.043
SG: No. 216


Bottom line: w, by a margin of 256 meV per atom.


--- w ---
This record from OQMD via LeMat-Bulk describes crystalline DyInSn at its relaxed geometry. The functional is PBE.

Lattice parameters (Å, degrees): 5.0580 5.0580 5.0580 60.00 60.00 60.00
Sites, in units of the cell vectors:
Dy: 0.0000 0.0000 0.0000
In: 0.5000 0.5000 0.5000
Sn: 0.2500 0.2500 0.2500

Properties
Size of the total moment, μB per atom: 0.002
SG: No. 216


--- x ---
This record from OQMD via LeMat-Bulk describes crystalline DyInSn at its relaxed geometry. The functional is PBE.

Lattice parameters (Å, degrees): 5.0948 5.0948 5.0948 60.00 60.00 60.00
Sites, in units of the cell vectors:
Sn: 0.7500 0.7500 0.7500
In: 0.2500 0.2500 0.2500
Dy: 0.0000 0.0000 0.0000

Properties
Size of the total moment, μB per atom: 0.000
SG: No. 216


Bottom line: x, by a margin of 74 meV per atom.


--- w ---
This record from OQMD via LeMat-Bulk describes crystalline DyLuIr at its relaxed geometry. The functional is PBE.

Lattice parameters (Å, degrees): 4.6632 4.6632 4.6632 60.00 60.00 60.00
Sites, in units of the cell vectors:
Dy: 0.2500 0.2500 0.2500
Ir: 0.7500 0.7500 0.7500
Lu: 0.0000 0.0000 0.0000

Properties
Size of the total moment, μB per atom: 0.001
SG: No. 216


--- x ---
This record from OQMD via LeMat-Bulk describes crystalline DyLuIr at its relaxed geometry. The functional is PBE.

Lattice parameters (Å, degrees): 7.1662 4.5289 8.6789 90.00 90.00 90.00
Sites, in units of the cell vectors:
Dy: 0.5100 0.7500 0.8346
Dy: 0.9900 0.2500 0.3346
Dy: 0.4900 0.2500 0.1654
Dy: 0.0100 0.7500 0.6654
Ir: 0.2519 0.2500 0.9056
Ir: 0.7481 0.7500 0.0944
Ir: 0.2481 0.7500 0.4056
Ir: 0.7519 0.2500 0.5944
Lu: 0.1417 0.7500 0.0773
Lu: 0.6417 0.7500 0.4227
Lu: 0.3583 0.2500 0.5773
Lu: 0.8583 0.2500 0.9227

Properties
Size of the total moment, μB per atom: 0.001
SG: No. 62


Bottom line: x, by a margin of 924 meV per atom.


--- w ---
This record from OQMD via LeMat-Bulk describes crystalline Dy5Lu2Te2Ir2 at its relaxed geometry. The functional is PBE.

Lattice parameters (Å, degrees): 9.3753 9.3753 9.3753 155.92 66.32 119.25
Sites, in units of the cell vectors:
Ir: 0.3623 0.5992 0.7630
Ir: 0.8362 0.5992 0.2370
Lu: 0.6065 0.2542 0.3524
Lu: 0.9018 0.2542 0.6476
Dy: 0.5814 0.8967 0.6846
Dy: 0.9735 0.1044 0.8691
Dy: 0.2353 0.1044 0.1309
Dy: 0.5262 0.5262 0.0000
Dy: 0.2121 0.8967 0.3154
Te: 0.8572 0.8572 0.0000
Te: 0.2614 0.7614 0.5000

Properties
Size of the total moment, μB per atom: 0.003
SG: No. 44


--- x ---
This record from OQMD via LeMat-Bulk describes crystalline Dy5Lu2Te2Ir2 at its relaxed geometry. The functional is PBE.

Lattice parameters (Å, degrees): 9.3401 9.3401 9.3401 155.66 66.07 119.63
Sites, in units of the cell vectors:
Te: 0.7383 0.2383 0.5000
Te: 0.1411 0.1411 0.0000
Dy: 0.3908 0.7423 0.6485
Dy: 0.0939 0.7423 0.3515
Dy: 0.4764 0.4764 0.0000
Dy: 0.0244 0.8931 0.1314
Dy: 0.7617 0.8931 0.8686
Ir: 0.6451 0.4069 0.2382
Ir: 0.1687 0.4069 0.7618
Lu: 0.4183 0.1029 0.3154
Lu: 0.7875 0.1029 0.6846

Properties
Size of the total moment, μB per atom: 0.002
SG: No. 44


Bottom line: x, by a margin of 24 meV per atom.


--- w ---
This record from OQMD via LeMat-Bulk describes crystalline Dy4Lu3Te2Ir2 at its relaxed geometry. The functional is PBE.

Lattice parameters (Å, degrees): 9.3496 9.3496 9.3496 155.93 66.55 119.00
Sites, in units of the cell vectors:
Dy: 0.2349 0.1042 0.1308
Dy: 0.9734 0.1042 0.8692
Dy: 0.2121 0.8968 0.3153
Dy: 0.5815 0.8968 0.6847
Ir: 0.3636 0.5997 0.7639
Ir: 0.8358 0.5997 0.2361
Lu: 0.8978 0.2521 0.6458
Lu: 0.5277 0.5277 0.0000
Lu: 0.6063 0.2521 0.3542
Te: 0.8575 0.8575 0.0000
Te: 0.2633 0.7633 0.5000

Properties
Size of the total moment, μB per atom: 0.001
SG: No. 44


--- x ---
This record from OQMD via LeMat-Bulk describes crystalline Dy4Lu3Te2Ir2 at its relaxed geometry. The functional is PBE.

Lattice parameters (Å, degrees): 9.3255 9.3255 9.3255 155.73 66.15 119.52
Sites, in units of the cell vectors:
Lu: 0.0254 0.5254 0.5000
Lu: 0.7120 0.8968 0.8152
Lu: 0.0817 0.8968 0.1848
Te: 0.3591 0.8591 0.5000
Te: 0.7645 0.7645 0.0000
Ir: 0.3304 0.5929 0.7376
Ir: 0.8553 0.5929 0.2624
Dy: 0.7380 0.1070 0.6310
Dy: 0.4030 0.2557 0.1473
Dy: 0.4760 0.1070 0.3690
Dy: 0.1084 0.2557 0.8527

Properties
Size of the total moment, μB per atom: 0.001
SG: No. 44


Bottom line: x, by a margin of 23 meV per atom.


--- w ---
This record from OQMD via LeMat-Bulk describes crystalline Dy2Lu5Te2Ir2 at its relaxed geometry. The functional is PBE.

Lattice parameters (Å, degrees): 9.2572 9.2572 9.2572 155.71 66.66 119.00
Sites, in units of the cell vectors:
Lu: 0.9180 0.1039 0.8141
Lu: 0.8938 0.7468 0.1470
Lu: 0.9726 0.4726 0.5000
Lu: 0.5999 0.7468 0.8530
Lu: 0.2898 0.1039 0.1859
Te: 0.2343 0.2343 0.0000
Te: 0.6422 0.1422 0.5000
Ir: 0.1395 0.4039 0.7356
Ir: 0.6683 0.4039 0.2644
Dy: 0.2630 0.8939 0.3691
Dy: 0.5248 0.8939 0.6309

Properties
Size of the total moment, μB per atom: 0.002
SG: No. 44


--- x ---
This record from OQMD via LeMat-Bulk describes crystalline Dy2Lu5Te2Ir2 at its relaxed geometry. The functional is PBE.

Lattice parameters (Å, degrees): 9.2737 9.2737 9.2737 155.83 66.27 119.35
Sites, in units of the cell vectors:
Te: 0.2428 0.2428 0.0000
Te: 0.6380 0.1380 0.5000
Lu: 0.5979 0.7448 0.8530
Lu: 0.2626 0.8946 0.3680
Lu: 0.8918 0.7448 0.1470
Lu: 0.5267 0.8946 0.6320
Lu: 0.9736 0.4736 0.5000
Ir: 0.6630 0.4022 0.2608
Ir: 0.1413 0.4022 0.7392
Dy: 0.9205 0.1042 0.8163
Dy: 0.2880 0.1042 0.1837

Properties
Size of the total moment, μB per atom: 0.001
SG: No. 44


Bottom line: w, by a margin of 21 meV per atom.


--- w ---
This record from OQMD via LeMat-Bulk describes crystalline DyNbIr at its relaxed geometry. The functional is PBE.

Lattice parameters (Å, degrees): 4.5484 4.5484 4.5484 60.00 60.00 60.00
Last column: magnetic moment on the atom in μB.
Sites, in units of the cell vectors:
Ir: 0.2500 0.2500 0.2500  -0.03
Nb: 0.7500 0.7500 0.7500  1.07
Dy: 0.0000 0.0000 0.0000  0.27

Properties
Size of the total moment, μB per atom: 0.454
SG: No. 216


--- x ---
This record from OQMD via LeMat-Bulk describes crystalline DyNbIr at its relaxed geometry. The functional is PBE.

Lattice parameters (Å, degrees): 4.5791 4.5791 4.5791 60.00 60.00 60.00
Sites, in units of the cell vectors:
Ir: 0.0000 0.0000 0.0000
Nb: 0.2500 0.2500 0.2500
Dy: 0.7500 0.7500 0.7500

Properties
Size of the total moment, μB per atom: 0.014
SG: No. 216


Bottom line: x, by a margin of 1082 meV per atom.